# LuPuRh | Alexandria | GGA-PBE | optimized geometry
data_LuPuRh
_chemical_formula_sum 'Lu2 Pu2 Rh2'
_cell_length_a 3.364
_cell_length_b 3.364
_cell_length_c 12.260
_cell_angle_alpha 90.00
_cell_angle_beta 90.00
_cell_angle_gamma 90.00
_symmetry_space_group_name_H-M 'P 1'
_symmetry_Int_Tables_number 1
loop_
_symmetry_equiv_pos_as_xyz
'x,y,z'
loop_
_atom_site_label
_atom_site_fract_x
_atom_site_fract_y
_atom_site_fract_z
Lu1 0.000 0.000 0.000
Lu2 0.500 0.500 0.500
Pu1 0.000 0.000 0.723
Pu2 0.500 0.500 0.223
Rh1 0.000 0.000 0.372
Rh2 0.500 0.500 0.872
# Polymorph energy (0 for the lowest one), meV per atom: 0
# Crystal system: tetragonal
# Volume, Å³ per cell: 138.7

# La2ErI | Alexandria | GGA-PBE | optimized geometry
data_La2ErI
_chemical_formula_sum 'La2 Er1 I1'
_cell_length_a 3.755
_cell_length_b 3.755
_cell_length_c 9.784
_cell_angle_alpha 90.00
_cell_angle_beta 90.00
_cell_angle_gamma 90.00
_symmetry_space_group_name_H-M 'P 1'
_symmetry_Int_Tables_number 1
loop_
_symmetry_equiv_pos_as_xyz
'x,y,z'
loop_
_atom_site_label
_atom_site_fract_x
_atom_site_fract_y
_atom_site_fract_z
La1 0.000 0.000 0.242
La2 0.000 0.000 0.758
Er1 0.500 0.500 0.500
I1 0.500 0.500 0.000
# Polymorph energy (0 for the lowest one), meV per atom: 41
# Crystal system: tetragonal
# E_form (uncorrected), eV/atom: -0.38
# Volume, Å³ per cell: 137.9